1.
Crystalline CrSbCl2 at its relaxed geometry. Source: Alexandria via LeMat-Bulk, functional GGA-PBE.

```
CrSbCl2
1.0
3.1208 0.0000 0.0000
0.0000 3.1208 0.0000
0.0000 0.0000 11.3189
Cl Cr Sb
2 1 1
Direct
0.0000 0.0000 0.3836
0.0000 0.0000 0.1164
0.5000 0.5000 0.2500
0.5000 0.5000 0.7500
```

Values from the calculation:
Formation energy without anion corrections   -0.19 eV per atom
ΔE to the lowest computed polymorph   211 meV/atom

***

2.
Crystalline Tb3Np2Ru6 at its relaxed geometry. Source: Alexandria via LeMat-Bulk, functional GGA-PBE.

```
Tb3Np2Ru6
1.0
7.7856 0.0000 -2.7526
-3.8928 6.7426 -2.7526
0.0000 0.0000 8.2579
Ru Tb Np
12 6 4
Direct
0.3052 0.6526 0.6526
0.0000 0.6526 0.3474
0.3474 0.0000 0.6526
0.6526 0.0000 0.3474
0.3474 0.3474 0.6948
0.6526 0.6526 0.3052
0.3474 0.6526 0.0000
0.6948 0.3474 0.3474
0.6526 0.3474 0.0000
0.0000 0.3474 0.6526
0.3474 0.6948 0.3474
0.6526 0.3052 0.6526
0.7130 0.7130 0.0000
0.0000 0.7130 0.7130
0.2870 0.0000 0.2870
0.0000 0.2870 0.2870
0.2870 0.2870 0.0000
0.7130 0.0000 0.7130
0.0000 0.5000 0.0000
0.0000 0.0000 0.5000
0.5000 0.5000 0.5000
0.5000 0.0000 0.0000
```

Values from the calculation:
Energy   -8.8954 eV/atom

***

3.
Crystalline CeAsO3 at its relaxed geometry. Source: Alexandria via LeMat-Bulk, functional GGA-PBE.

```
CeAsO3
1.0
-4.3422 -1.1066 -2.9128
-1.3907 -2.7763 3.1280
-3.4413 3.4276 3.8278
O Ce As
6 2 2
Direct
0.0018 0.8049 0.3441
0.5018 0.1951 0.6559
0.7500 0.6629 0.8871
0.2500 0.3371 0.1129
0.4982 0.8049 0.3441
0.9982 0.1951 0.6559
0.7500 0.3366 0.3000
0.2500 0.6634 0.7000
0.7500 0.0785 0.8602
0.2500 0.9215 0.1398
```

Values from the calculation:
Formation energy without anion corrections   -2.31 eV per atom

***

4.
Crystalline TbRu2C2 at its relaxed geometry. Source: Alexandria via LeMat-Bulk, functional GGA-PBE.

```
TbRu2C2
1.0
-1.0294 -3.5060 -0.9742
-0.3441 -0.9141 3.6534
-3.9360 3.5923 -1.4292
Tb C Ru
1 2 2
Direct
0.0000 0.0000 0.0000
0.3420 0.3420 0.6841
0.6580 0.6580 0.3159
0.2500 0.7500 0.5000
0.7500 0.2500 0.5000
```

Values from the calculation:
Energy   -8.2776 eV/atom

***

5.
Crystalline LaVRe2 at its relaxed geometry. Source: Alexandria via LeMat-Bulk, functional GGA-PBE.

```
LaVRe2
1.0
4.8993 0.0000 0.0000
0.0000 4.8993 0.0000
2.4496 2.4496 8.2739
La Re V
2 4 2
Direct
0.0000 0.0000 0.0000
0.7500 0.2500 0.5000
0.3748 0.6250 0.2500
0.3752 0.1250 0.2500
0.3750 0.6248 0.7500
0.8750 0.6252 0.7500
0.2500 0.7500 0.5000
0.5000 0.5000 0.0000
```

Values from the calculation:
ΔE to the lowest computed polymorph   251 meV/atom

***

6.
Crystalline NaLiNd2 at its relaxed geometry. Source: Alexandria via LeMat-Bulk, functional GGA-PBE.

```
NaLiNd2
1.0
-1.5939 -3.0922 0.1183
1.6474 -2.8514 -1.1276
4.5412 -3.8767 11.0648
Nd Na Li
2 1 1
Direct
0.9060 0.9060 0.2821
0.0940 0.0940 0.7179
0.0000 0.0000 0.0000
0.5000 0.5000 0.5000
```

Values from the calculation:
Energy   -2.9620 eV/atom